# 1
The following is a DFT calculation (PBE-GGA) of an optimized crystal structure of Ce5NdP6.

The density of states at the Fermi level is 44.67 states/eV per cell. The calculation puts the total moment at 5.8 Bohr magnetons per cell. The calculation puts the formation energy at -1.505 eV/atom.

Unit cell a=7.1083 b=12.3112 c=7.1072 alpha=90.00 beta=109.47 gamma=90.00
Space group C2/m (No. 12)
Inequivalent atoms, fractional coordinates:
Ce (0.0000, 0.0000, 0.0000) x2
Ce (0.0000, 0.1669, 0.5000) x4
Ce (0.0000, 0.3341, 0.0000) x4
Nd (0.0000, 0.5000, 0.5000) x2
P (0.2467, 0.0000, 0.7523) x4
P (0.2471, 0.1687, 0.2476) x8



# 2
The following is a DFT calculation (PBE-GGA) of an optimized crystal structure of CeNd4P5.

The density of states at the Fermi level is 11.13 states/eV per cell. The calculation puts the total moment at 0.7 Bohr magnetons per cell. The calculation puts the formation energy at -1.540 eV/atom.

Unit cell a=9.2749 b=9.2749 c=5.8683 alpha=90.00 beta=90.00 gamma=90.00
Space group I4/m (No. 87)
Inequivalent atoms, fractional coordinates:
Ce (0.0000, 0.0000, 0.0000) x2
Nd (0.0992, 0.3008, 0.5000) x8
P (0.0000, 0.0000, 0.5000) x2
P (0.0975, 0.2942, 0.0000) x8